# 1
Entry from the Alexandria database: crystalline B3RuO at its relaxed geometry (GGA-PBE).

extended XYZ file:
```
5
Lattice="4.033 0.000 0.000 0.000 4.033 0.000 0.000 0.000 4.033" Properties=species:S:1:pos:R:3 pbc="T T T"
B 0.000 0.000 2.017
B 0.000 2.017 0.000
B 2.017 0.000 0.000
Ru 0.000 0.000 0.000
O 2.017 2.017 2.017
```

Values from the calculation:
**ΔE_f (raw)**: 1419 meV per atom
**Volume**: 13.12 Å³ per atom
**Excess energy over the best structure of this formula in the dataset**: 255.5 meV per atom

***

# 2
Entry from the Alexandria database: crystalline TmScI5 at its relaxed geometry (GGA-PBE).

extended XYZ file:
```
14
Lattice="9.545 0.000 0.000 0.000 4.013 0.000 -0.048 0.000 15.375" Properties=species:S:1:pos:R:3 pbc="T T T"
Tm 1.547 1.003 4.852
Tm 7.950 3.010 10.523
Sc 4.017 3.010 2.139
Sc 5.479 1.003 13.236
I 0.594 1.003 11.068
I 1.810 1.003 1.793
I 2.155 3.010 7.015
I 3.493 3.010 14.305
I 4.559 1.003 4.399
I 4.938 3.010 10.976
I 6.004 1.003 1.070
I 7.342 1.003 8.361
I 7.687 3.010 13.582
I 8.902 3.010 4.307
```

Values from the calculation:
**ΔE_f (raw)**: -1193 meV per atom
**Volume**: 42.07 Å³ per atom

***

# 3
Entry from the Alexandria database: crystalline KHf2SiTe at its relaxed geometry (GGA-PBE).

extended XYZ file:
```
5
Lattice="5.299 0.000 0.000 0.000 5.299 0.000 0.000 0.000 5.823" Properties=species:S:1:pos:R:3 pbc="T T T"
K 0.000 0.000 0.000
Hf 0.000 2.650 2.912
Hf 2.650 0.000 2.912
Si 2.650 2.650 0.000
Te 0.000 0.000 2.912
```

Values from the calculation:
**ΔE_f (raw)**: 1091 meV per atom
**Volume**: 32.71 Å³ per atom

***

# 4
Entry from the Alexandria database: crystalline ScCuBr at its relaxed geometry (GGA-PBE).

extended XYZ file:
```
3
Lattice="-1.648 1.648 6.349 1.648 -1.648 6.349 1.648 1.648 -6.349" Properties=species:S:1:pos:R:3 pbc="T T T"
Sc 0.000 0.000 0.000
Cu 0.000 0.000 7.912
Br 0.000 0.000 4.650
```

Values from the calculation:
**ΔE_f (raw)**: -383 meV per atom
**Volume**: 22.98 Å³ per atom
**Excess energy over the best structure of this formula in the dataset**: 439.8 meV per atom